#P
Density functional theory data (PBE) for Tm4Ag2Hg after structural relaxation.

Cell lengths 4.8467, 4.8467, 9.9376 Å; angles 75.89, 75.89, 60.00 degrees
Sites, in units of the cell vectors:
Tm1 0.6208 0.6208 0.1376
Tm2 0.7966 0.7966 0.6103
Tm3 0.2034 0.2034 0.3897
Tm4 0.3792 0.3792 0.8624
Hg1 0.0000 0.0000 0.0000
Ag1 0.1000 0.1000 0.7001
Ag2 0.9000 0.9000 0.2999

**M_tot**: 0.00 μB/f.u.
**DOS at the Fermi energy**: 10.12 states/eV/cell

=====

#Q
Density functional theory data (PBE) for Tm4Ag2Hg after structural relaxation.

Cell lengths 5.0669, 5.0669, 8.6719 Å; angles 73.01, 73.01, 60.00 degrees
Sites, in units of the cell vectors:
Ag1 0.2505 0.2505 0.2486
Ag2 0.7495 0.7495 0.7514
Tm1 0.8721 0.8721 0.3837
Tm2 0.6201 0.6201 0.1398
Tm3 0.3799 0.3799 0.8602
Tm4 0.1279 0.1279 0.6163
Hg1 0.0000 0.0000 0.0000

**M_tot**: 0.00 μB/f.u.
**DOS at the Fermi energy**: 4.96 states/eV/cell

=====

Referenced to the most stable arrangement, the calculated values in meV per atom are #P 159; #Q 0.

=====

#P
Density functional theory data (PBE) for TmAgHg4 after structural relaxation.

Cell lengths 3.5091, 5.0421, 9.9160 Å; angles 115.51, 90.00, 110.36 degrees
Sites, in units of the cell vectors:
Hg1 0.7987 0.0973 0.6803
Hg2 0.2013 0.9027 0.3197
Hg3 0.8510 0.2020 0.1469
Hg4 0.1490 0.7980 0.8531
Tm1 0.0000 0.5000 0.5000
Ag1 0.5000 0.5000 0.0000

**M_tot**: 0.00 μB/f.u.
**DOS at the Fermi energy**: 2.77 states/eV/cell

=====

#Q
Density functional theory data (PBE) for TmAgHg4 after structural relaxation.

Cell lengths 5.7914, 5.7914, 10.3718 Å; angles 90.00, 90.00, 87.37 degrees
Sites, in units of the cell vectors:
Tm1 0.0112 0.0112 0.2500
Tm2 0.9888 0.9888 0.7500
Hg1 0.7991 0.7991 0.4957
Hg2 0.2009 0.2009 0.5043
Hg3 0.1450 0.5168 0.2500
Hg4 0.5168 0.1450 0.2500
Hg5 0.8550 0.4832 0.7500
Hg6 0.4832 0.8550 0.7500
Hg7 0.7991 0.7991 0.0043
Hg8 0.2009 0.2009 0.9957
Ag1 0.3664 0.3664 0.7500
Ag2 0.6336 0.6336 0.2500

**M_tot**: 0.00 μB/f.u.
**DOS at the Fermi energy**: 5.86 states/eV/cell

=====

Referenced to the most stable arrangement, the calculated values in meV per atom are #P 0; #Q 63.

=====

#P
Density functional theory data (PBE) for Tm4AgHg2 after structural relaxation.

Cell lengths 5.0896, 5.0896, 8.7963 Å; angles 73.18, 73.18, 60.00 degrees
Sites, in units of the cell vectors:
Tm1 0.3764 0.3764 0.8708
Tm2 0.1256 0.1256 0.6231
Tm3 0.8744 0.8744 0.3769
Tm4 0.6236 0.6236 0.1292
Ag1 0.0000 0.0000 0.0000
Hg1 0.7523 0.7523 0.7430
Hg2 0.2477 0.2477 0.2570

**M_tot**: 0.00 μB/f.u.
**DOS at the Fermi energy**: 6.62 states/eV/cell

=====

#Q
Density functional theory data (PBE) for Tm4AgHg2 after structural relaxation.

Cell lengths 4.8980, 4.8980, 9.9298 Å; angles 75.72, 75.72, 60.00 degrees
Sites, in units of the cell vectors:
Tm1 0.3791 0.3791 0.8628
Tm2 0.7962 0.7962 0.6114
Tm3 0.6209 0.6209 0.1372
Tm4 0.2038 0.2038 0.3886
Ag1 0.0000 0.0000 0.0000
Hg1 0.9014 0.9014 0.2957
Hg2 0.0986 0.0986 0.7043

**M_tot**: 0.00 μB/f.u.
**DOS at the Fermi energy**: 9.12 states/eV/cell

=====

Referenced to the most stable arrangement, the calculated values in meV per atom are #P 0; #Q 152.

=====

#P
Density functional theory data (PBE) for Tm2AgHg4 after structural relaxation.

Cell lengths 5.1576, 5.1576, 7.8011 Å; angles 70.70, 70.70, 60.00 degrees
Sites, in units of the cell vectors:
Hg1 0.4163 0.4163 0.7511
Hg2 0.8670 0.8670 0.3991
Hg3 0.5837 0.5837 0.2489
Hg4 0.1330 0.1330 0.6009
Ag1 0.0000 0.0000 0.0000
Tm1 0.7256 0.7256 0.8233
Tm2 0.2744 0.2744 0.1767

**M_tot**: 0.00 μB/f.u.
**DOS at the Fermi energy**: 3.27 states/eV/cell

=====

#Q
Density functional theory data (PBE) for Tm2AgHg4 after structural relaxation.

Cell lengths 3.8693, 6.8457, 13.2288 Å; angles 90.00, 90.00, 90.00 degrees
Sites, in units of the cell vectors:
Hg1 0.0000 0.5092 0.7669
Hg2 0.5000 0.2299 0.8899
Hg3 0.0000 0.0092 0.7331
Hg4 0.5000 0.7701 0.1101
Hg5 0.0000 0.4908 0.2331
Hg6 0.0000 0.9908 0.2669
Hg7 0.5000 0.7299 0.6101
Hg8 0.5000 0.2701 0.3899
Ag1 0.0000 0.5000 0.0000
Ag2 0.0000 0.0000 0.5000
Tm1 0.5000 0.2118 0.1167
Tm2 0.5000 0.7882 0.8833
Tm3 0.5000 0.2882 0.6167
Tm4 0.5000 0.7118 0.3833

**M_tot**: 0.00 μB/f.u.
**DOS at the Fermi energy**: 8.98 states/eV/cell

=====

Referenced to the most stable arrangement, the calculated values in meV per atom are #P 0; #Q 79.

=====

#P
Density functional theory data (PBE) for Tm2Ag3Hg after structural relaxation.

Cell lengths 5.8287, 5.8287, 8.9634 Å; angles 101.98, 101.98, 111.20 degrees
Sites, in units of the cell vectors:
Ag1 0.3303 0.8347 0.1650
Ag2 0.8347 0.3303 0.1650
Ag3 0.1650 0.1650 0.3300
Ag4 0.1653 0.6697 0.8350
Ag5 0.6697 0.1653 0.8350
Ag6 0.8350 0.8350 0.6700
Tm1 0.7518 0.7518 0.0000
Tm2 0.2482 0.2482 0.0000
Tm3 0.7500 0.2500 0.5000
Tm4 0.2500 0.7500 0.5000
Hg1 0.3335 0.3335 0.6670
Hg2 0.6665 0.6665 0.3330

**M_tot**: 0.00 μB/f.u.
**DOS at the Fermi energy**: 6.71 states/eV/cell

=====

#Q
Density functional theory data (PBE) for Tm2Ag3Hg after structural relaxation.

Cell lengths 4.0205, 6.8914, 11.2071 Å; angles 107.34, 100.33, 106.96 degrees
Sites, in units of the cell vectors:
Hg1 0.9885 0.0904 0.8865
Hg2 0.0115 0.9096 0.1135
Tm1 0.6307 0.9098 0.3517
Tm2 0.2843 0.7176 0.8510
Tm3 0.7157 0.2824 0.1490
Tm4 0.3693 0.0902 0.6483
Ag1 0.0352 0.6430 0.4274
Ag2 0.3318 0.2943 0.3693
Ag3 0.9648 0.3570 0.5726
Ag4 0.6655 0.4254 0.9056
Ag5 0.3345 0.5746 0.0944
Ag6 0.6682 0.7057 0.6307

**M_tot**: 0.00 μB/f.u.
**DOS at the Fermi energy**: 8.70 states/eV/cell

=====

Referenced to the most stable arrangement, the calculated values in meV per atom are #P 0; #Q 63.

=====

#P
Density functional theory data (PBE) for TmAg4Hg after structural relaxation.

Cell lengths 4.9092, 8.4281, 8.9864 Å; angles 137.98, 90.00, 90.00 degrees
Sites, in units of the cell vectors:
Ag1 0.0000 0.9157 0.5864
Ag2 0.0000 0.5843 0.9136
Ag3 0.0000 0.4157 0.0864
Ag4 0.5000 0.2485 0.4110
Ag5 0.5000 0.7515 0.5890
Ag6 0.0000 0.0843 0.4136
Ag7 0.5000 0.2515 0.0890
Ag8 0.5000 0.7485 0.9110
Tm1 0.5000 0.2500 0.7500
Tm2 0.5000 0.7500 0.2500
Hg1 0.0000 0.5000 0.5000
Hg2 0.0000 0.0000 0.0000

**M_tot**: 0.00 μB/f.u.
**DOS at the Fermi energy**: 3.66 states/eV/cell

=====

#Q
Density functional theory data (PBE) for TmAg4Hg after structural relaxation.

Cell lengths 5.5600, 5.5600, 5.5600 Å; angles 60.00, 60.00, 60.00 degrees
Sites, in units of the cell vectors:
Hg1 0.0000 0.0000 0.0000
Tm1 0.2500 0.2500 0.2500
Ag1 0.1254 0.6249 0.6249
Ag2 0.6249 0.6249 0.1254
Ag3 0.6249 0.1254 0.6249
Ag4 0.6249 0.6249 0.6249

**M_tot**: 0.00 μB/f.u.
**DOS at the Fermi energy**: 6.37 states/eV/cell

=====

Referenced to the most stable arrangement, the calculated values in meV per atom are #P 102; #Q 0.